# 1
La2NdHo8: optimized geometry, GGA-PBE.

Computed properties:
**Formation energy from the elements**: 0.12 eV per atom
**ΔE to the lowest computed polymorph**: 94.2 kJ/mol of formula units
**Magnetization**: 0.00 μB/atom
**DOS at the Fermi energy**: 14.4 states/eV per cell

Cell: 5.549 8.149 9.435 Å, 115.59 107.10 90.00°
Positions (direct):
Ho 0.364 0.157 0.727
Ho 0.160 0.160 0.319
Ho 0.364 0.570 0.727
Ho 0.000 0.293 0.000
Ho 0.636 0.843 0.273
Ho 0.000 0.707 0.000
Ho 0.636 0.430 0.273
Ho 0.840 0.840 0.681
La 0.799 0.299 0.599
La 0.201 0.701 0.401
Nd 0.500 0.000 0.000


# 2
Tm4InOs: optimized geometry, GGA-PBE.

Computed properties:
**Formation energy from the elements**: -0.37 eV per atom
**ΔE to the lowest computed polymorph**: 0.0 kJ/mol of formula units
**Magnetization**: 0.00 μB/atom
**DOS at the Fermi energy**: 22.6 states/eV per cell

Cell: 9.536 9.536 9.536 Å, 60.00 60.00 60.00°
Positions (direct):
Os 0.611 0.166 0.611
Os 0.611 0.611 0.166
Os 0.611 0.611 0.611
Os 0.166 0.611 0.611
Tm 0.804 0.804 0.196
Tm 0.804 0.196 0.804
Tm 0.402 0.793 0.402
Tm 0.804 0.196 0.196
Tm 0.196 0.804 0.804
Tm 0.557 0.557 0.943
Tm 0.557 0.943 0.943
Tm 0.402 0.402 0.402
Tm 0.196 0.804 0.196
Tm 0.943 0.557 0.557
Tm 0.196 0.196 0.804
Tm 0.402 0.402 0.793
Tm 0.557 0.943 0.557
Tm 0.943 0.557 0.943
Tm 0.943 0.943 0.557
Tm 0.793 0.402 0.402
In 0.167 0.167 0.499
In 0.167 0.499 0.167
In 0.167 0.167 0.167
In 0.499 0.167 0.167


# 3
La3GaOs: optimized geometry, GGA-PBE.

Computed properties:
**Formation energy from the elements**: -0.32 eV per atom
**ΔE to the lowest computed polymorph**: 0.0 kJ/mol of formula units
**Magnetization**: 0.00 μB/atom
**DOS at the Fermi energy**: 6.7 states/eV per cell

Cell: 5.939 5.939 8.854 Å, 102.47 102.46 110.88°
Positions (direct):
Ga 0.312 0.812 0.500
Ga 0.688 0.188 0.500
La 0.094 0.203 0.297
La 0.703 0.594 0.298
La 0.906 0.797 0.703
La 0.300 0.800 0.101
La 0.297 0.406 0.702
La 0.700 0.200 0.899
Os 0.250 0.250 0.000
Os 0.750 0.750 0.000


# 4
NaMn3I8: optimized geometry, GGA-PBE.

Computed properties:
**ΔE_f (raw)**: -0.5122 eV/atom
**Magnetization**: 1.17 μB/atom
**DOS at the Fermi energy**: 8.7 states/eV per cell

Cell: 8.398 8.411 8.977 Å, 118.26 90.00 119.95°
Last column: magnetic moment on the atom in μB.
Positions (direct):
I 0.283 0.031 0.783  0.02
I 0.252 0.503 0.217  0.02
I 0.743 0.486 0.226  0.08
I 0.257 0.514 0.774  0.08
I 0.252 0.969 0.217  0.02
I 0.748 0.497 0.783  0.02
I 0.717 0.969 0.217  0.02
I 0.748 0.031 0.783  0.02
Mn 0.500 0.500 0.000  4.21
Mn 0.000 0.500 0.000  4.21
Mn 0.500 0.000 0.000  4.20
Na 0.000 0.000 0.000  0.00